## Pm4Pr5Rh2 (PBE)

Data for a relaxed structure of Pm4Pr5Rh2.

Results
- Fermi-level density of states: 1.45 states/eV per atom
- Size of the total moment: 0.00 μB per cell
- ΔH_f (0 K): -0.199 eV per atom
- Total energy: -5.4354 eV per atom
- Symmetry: P2/m

a b c (Å): 3.708 9.133 10.356
angles (deg): 93.48 90.00 90.00
Sites, in units of the cell vectors:
Pm1 0.500 0.810 0.536
Pm2 0.500 0.183 0.824
Pm3 0.500 0.190 0.464
Pm4 0.500 0.817 0.176
Pr1 0.000 0.530 0.333
Pr2 0.000 0.157 0.146
Pr3 0.000 0.500 0.000
Pr4 0.000 0.843 0.854
Pr5 0.000 0.470 0.667
Rh1 0.000 0.046 0.645
Rh2 0.000 0.954 0.355